1.
AcNd2Eu: optimized geometry, PBE.

The magnetic moment comes out at 7.8 μB/f.u. As for the formation enthalpy at 0 K: 19 kJ/mol of formula units. The value obtained for the total DFT energy (no corrections) is -5.9294 eV/atom.

The structure belongs to space group P4/mmm (No. 123); the cell edges are 3.830, 3.830 and 10.624 Å and the angles 90.00°, 90.00° and 90.00°. The asymmetric unit holds Ac at (0.000, 0.000, 0.000), Nd at (0.500, 0.500, 0.247) and Eu at (0.000, 0.000, 0.500).

***

2.
CsPtI2: optimized geometry, PBE.

The magnetic moment comes out at 1.0 μB/f.u. The value obtained for the total DFT energy (no corrections) is -2.3292 eV/atom. The value obtained for the formation energy without anion corrections is 0.169 eV/atom.

The structure belongs to space group Fm-3m (No. 225); the cell edges are 8.240, 8.240 and 8.240 Å and the angles 90.00°, 90.00° and 90.00°. The asymmetric unit holds Cs at (0.000, 0.000, 0.000), Pt at (0.000, 0.000, 0.500) and I at (0.250, 0.250, 0.250).

***

3.
PrGd2In: optimized geometry, PBE.

The magnetic moment comes out at 14.6 μB/f.u. As for the formation enthalpy at 0 K: -95 kJ/mol of formula units. The value obtained for the total DFT energy (no corrections) is -9.1652 eV/atom.

The structure belongs to space group P4/mmm (No. 123); the cell edges are 3.638, 3.638 and 9.342 Å and the angles 90.00°, 90.00° and 90.00°. The asymmetric unit holds Pr at (0.000, 0.000, 0.000), Gd at (0.500, 0.500, 0.277) and In at (0.000, 0.000, 0.500).

***

4.
Zr2VPtC: optimized geometry, PBE.

The magnetic moment comes out at 1.4 μB/f.u. As for the formation enthalpy at 0 K: -299 kJ/mol of formula units. The value obtained for the total DFT energy (no corrections) is -8.9160 eV/atom.

The structure belongs to space group P4/mmm (No. 123); the cell edges are 4.550, 4.550 and 3.943 Å and the angles 90.00°, 90.00° and 90.00°. The asymmetric unit holds Zr at (0.000, 0.500, 0.000), V at (0.000, 0.000, 0.500), Pt at (0.500, 0.500, 0.500) and C at (0.000, 0.000, 0.000).